Entry 1:
The following is a DFT calculation (PBE) of an optimized crystal structure of LuSc2W.

Space-group type: F-43m, No. 216

The structure in extended XYZ format:
```
4
Lattice="0.000 3.475 3.475 3.475 0.000 3.475 3.475 3.475 0.000" Properties=species:S:1:pos:R:3 pbc="T T T"
Lu 0.000 0.000 0.000
Sc 1.738 1.738 1.738
Sc 3.475 3.475 3.475
W 5.213 5.213 5.213
```


Entry 2:
The following is a DFT calculation (PBE) of an optimized crystal structure of Lu2ScW.

Space-group type: F-43m, No. 216

The structure in extended XYZ format:
```
4
Lattice="0.000 3.534 3.534 3.534 0.000 3.534 3.534 3.534 0.000" Properties=species:S:1:pos:R:3 pbc="T T T"
Lu 0.000 0.000 0.000
Lu 1.767 1.767 1.767
Sc 3.534 3.534 3.534
W 5.301 5.301 5.301
```


Entry 3:
The following is a DFT calculation (PBE) of an optimized crystal structure of LuScW.

Space-group type: F-43m, No. 216

The structure in extended XYZ format:
```
3
Lattice="0.000 3.312 3.312 3.312 0.000 3.312 3.312 3.312 0.000" Properties=species:S:1:pos:R:3 pbc="T T T"
Lu 0.000 0.000 0.000
Sc 1.656 1.656 1.656
W 3.312 3.312 3.312
```


Entry 4:
The following is a DFT calculation (PBE) of an optimized crystal structure of Y2LuSc.

Space-group type: F-43m, No. 216

The structure in extended XYZ format:
```
4
Lattice="0.000 3.889 3.889 3.889 0.000 3.889 3.889 3.889 0.000" Properties=species:S:1:pos:R:3 pbc="T T T"
Y 0.000 0.000 0.000
Y 1.945 1.945 1.945
Lu 5.834 5.834 5.834
Sc 3.889 3.889 3.889
```


Entry 5:
The following is a DFT calculation (PBE) of an optimized crystal structure of YLu2Sc.

Space-group type: F-43m, No. 216

The structure in extended XYZ format:
```
4
Lattice="0.000 3.860 3.860 3.860 0.000 3.860 3.860 3.860 0.000" Properties=species:S:1:pos:R:3 pbc="T T T"
Y 0.000 0.000 0.000
Lu 1.930 1.930 1.930
Lu 3.860 3.860 3.860
Sc 5.790 5.790 5.790
```


Entry 6:
The following is a DFT calculation (PBE) of an optimized crystal structure of LuScZn.

Space-group type: F-43m, No. 216

The structure in extended XYZ format:
```
3
Lattice="0.000 3.355 3.355 3.355 0.000 3.355 3.355 3.355 0.000" Properties=species:S:1:pos:R:3 pbc="T T T"
Lu 0.000 0.000 0.000
Sc 1.677 1.677 1.677
Zn 3.355 3.355 3.355
```


Entry 7:
The following is a DFT calculation (PBE) of an optimized crystal structure of LuSc2Zn.

Space-group type: F-43m, No. 216

The structure in extended XYZ format:
```
4
Lattice="0.000 3.558 3.558 3.558 0.000 3.558 3.558 3.558 0.000" Properties=species:S:1:pos:R:3 pbc="T T T"
Lu 0.000 0.000 0.000
Sc 3.558 3.558 3.558
Sc 5.337 5.337 5.337
Zn 1.779 1.779 1.779
```


Entry 8:
The following is a DFT calculation (PBE) of an optimized crystal structure of LuZr2Sc.

Space-group type: F-43m, No. 216

The structure in extended XYZ format:
```
4
Lattice="0.000 3.647 3.647 3.647 0.000 3.647 3.647 3.647 0.000" Properties=species:S:1:pos:R:3 pbc="T T T"
Lu 0.000 0.000 0.000
Zr 1.824 1.824 1.824
Zr 3.647 3.647 3.647
Sc 5.471 5.471 5.471
```


Entry 9:
The following is a DFT calculation (PBE) of an optimized crystal structure of LuZrSc.

Space-group type: F-43m, No. 216

The structure in extended XYZ format:
```
3
Lattice="0.000 3.553 3.553 3.553 0.000 3.553 3.553 3.553 0.000" Properties=species:S:1:pos:R:3 pbc="T T T"
Lu 0.000 0.000 0.000
Zr 1.777 1.777 1.777
Sc 3.553 3.553 3.553
```


Entry 10:
The following is a DFT calculation (PBE) of an optimized crystal structure of LuSe2.

Space-group type: Fd-3m, No. 227

The structure in extended XYZ format:
```
6
Lattice="0.000 6.052 6.052 6.052 0.000 6.052 6.052 6.052 0.000" Properties=species:S:1:pos:R:3 pbc="T T T"
Lu 1.513 1.513 1.513
Lu 10.591 10.591 10.591
Se 0.000 0.000 0.000
Se 3.026 3.026 0.000
Se 3.026 0.000 3.026
Se 0.000 3.026 3.026
```


Entry 11:
The following is a DFT calculation (PBE) of an optimized crystal structure of LuTlSnSe3.

Space-group type: Cmcm, No. 63

The structure in extended XYZ format:
```
12
Lattice="2.021 -8.102 0.000 2.021 8.102 0.000 0.000 0.000 11.383" Properties=species:S:1:pos:R:3 pbc="T T T"
Lu 0.000 0.000 0.000
Lu 0.000 0.000 5.691
Tl 2.021 3.236 8.537
Tl 2.021 -3.236 2.846
Sn 2.021 2.070 2.846
Sn 2.021 -2.070 8.537
Se 2.021 7.928 8.537
Se 2.021 1.941 5.769
Se 2.021 1.941 11.306
Se 2.021 -1.941 0.077
Se 2.021 -1.941 5.614
Se 2.021 -7.928 2.846
```


Entry 12:
The following is a DFT calculation (PBE) of an optimized crystal structure of Lu2TlSe4.

Space-group type: Fd-3m, No. 227

The structure in extended XYZ format:
```
14
Lattice="0.000 5.943 5.943 5.943 0.000 5.943 5.943 5.943 0.000" Properties=species:S:1:pos:R:3 pbc="T T T"
Lu 0.000 0.000 0.000
Lu 2.971 2.971 0.000
Lu 2.971 0.000 2.971
Lu 0.000 2.971 2.971
Tl 4.457 4.457 4.457
Tl 7.429 7.429 7.429
Se 9.078 5.779 5.779
Se 2.808 2.808 2.808
Se 6.106 6.106 2.808
Se 6.106 2.808 6.106
Se 5.779 9.078 5.779
Se 5.779 5.779 9.078
Se 9.078 9.078 9.078
Se 2.808 6.106 6.106
```


no.,total magnetic moment (μB/cell),ρ (g/cm3),VASP energy (eV per cell)
1,0.02,8.9,-28.78
2,0.01,10.9,-26.78
3,1.61,9.2,-20.03
4,1.26,5.6,-23.21
5,0.62,7.0,-21.32
6,0.00,6.3,-10.47
7,0.03,6.1,-18.42
8,1.40,6.9,-27.33
9,1.27,5.8,-16.89
10,2.00,2.5,-27.90
11,0.00,6.5,-54.01
12,0.00,6.9,-69.94